(1)
Compound: YErAsO
Source: OQMD
Functional: PBE-GGA
Structure: relaxed

The structure in POSCAR format:
```
YErAsO
1.0
-1.840 1.361 -3.675
-3.265 -2.778 0.606
-4.337 6.059 4.417
Er O As Y
2 2 2 2
Direct
0.250 0.250 0.097
0.750 0.750 0.903
0.750 0.250 0.000
0.250 0.750 0.000
0.250 0.250 0.709
0.750 0.750 0.291
0.250 0.750 0.500
0.750 0.250 0.500
```

Space-group type: P4/nmm (129)
Energy above the most stable polymorph in this dataset (kJ/mol of formula units): 39

=====

(2)
Compound: YErZn2As2O2
Source: OQMD
Functional: PBE-GGA
Structure: relaxed

The structure in POSCAR format:
```
YErZn2As2O2
1.0
3.938 0.000 0.000
0.000 3.938 0.000
0.000 0.000 8.868
O As Er Y Zn
2 2 1 1 2
Direct
0.500 0.000 0.998
0.000 0.500 0.998
0.500 0.500 0.315
0.000 0.000 0.684
0.500 0.500 0.880
0.000 0.000 0.123
0.500 0.000 0.501
0.000 0.500 0.501
```

Space-group type: P4mm (99)

=====

We obtain magnetization values of 0.01, 0.00 μB/f.u. for the records listed above, in that order.
We obtain raw total energy values of -7.034, -5.916 eV per atom for the records listed above, in that order.